Record 1
Density functional theory data (PBE) for a relaxed Nd6GaHg crystal.

Lattice parameters (Å, degrees): 5.2573 5.2573 9.7636 74.34 74.34 89.97
With the nearest neighbours (Å) after each atom.
Element x y z (fractional)
Nd1 0.1071 0.6068 0.7862  2 Hg 3.26, 2 Ga 3.26
Nd2 0.6068 0.1071 0.7862  2 Hg 3.26, 2 Ga 3.26
Ga1 0.5000 0.5000 0.0000  8 Nd 3.26
Nd3 0.8929 0.3932 0.2138  2 Hg 3.26, 2 Ga 3.26
Nd4 0.2514 0.2514 0.4981  12 Nd 3.67-3.72
Nd5 0.7486 0.7486 0.5019  12 Nd 3.67-3.72
Hg1 0.0000 0.0000 0.0000  8 Nd 3.26
Nd6 0.3932 0.8929 0.2138  2 Hg 3.26, 2 Ga 3.26

Results
Total DFT energy (no corrections) ... -4.2247 eV/atom
DOS(E_F) ... 9.64 states/eV/cell
Energy of formation from the pure elements ... -0.23 eV/atom

***

Record 2
Density functional theory data (PBE) for a relaxed Nd7Ga5Hg crystal.

Lattice parameters (Å, degrees): 6.4731 8.0690 8.0690 77.74 66.35 66.35
With the nearest neighbours (Å) after each atom.
Element x y z (fractional)
Hg1 0.9523 0.0477 0.0477  4 Nd 3.26-3.43, 4 Ga 3.56
Nd1 0.6342 0.3658 0.3658  4 Ga 3.21, 1 Hg 3.43, 2 Nd 3.45
Nd2 0.0038 0.3130 0.6794  5 Ga 3.09-3.34, 1 Hg 3.26
Ga1 0.5316 0.4854 0.9930  2 Ga 2.97, 5 Nd 3.03-3.21
Ga2 0.7677 0.7323 0.7323  4 Ga 2.97, 6 Nd 3.15-3.24
Nd3 0.2627 0.7373 0.7373  6 Ga 3.11-3.24, 1 Hg 3.34
Nd4 0.0038 0.6794 0.3130  5 Ga 3.09-3.34, 1 Hg 3.26
Ga3 0.9900 0.4854 0.9930  2 Ga 2.97, 5 Nd 3.03-3.21
Nd5 0.2819 0.2181 0.2181  4 Ga 3.06, 2 Nd 3.19
Ga4 0.5316 0.9930 0.4854  2 Ga 2.97, 5 Nd 3.03-3.21
Ga5 0.9900 0.9930 0.4854  2 Ga 2.97, 5 Nd 3.03-3.21
Nd6 0.5252 0.1541 0.7955  3 Ga 3.03-3.18, 1 Nd 3.19
Nd7 0.5252 0.7955 0.1541  3 Ga 3.03-3.18, 1 Nd 3.19

Results
Total DFT energy (no corrections) ... -4.1272 eV/atom
DOS(E_F) ... 10.17 states/eV/cell
Energy of formation from the pure elements ... -0.37 eV/atom

***

Record 3
Density functional theory data (PBE) for a relaxed Nd5Ga2Hg crystal.

Lattice parameters (Å, degrees): 7.8077 7.8077 9.4472 114.41 114.41 90.00
With the nearest neighbours (Å) after each atom.
Element x y z (fractional)
Ga1 0.3819 0.8819 0.0000  1 Ga 2.61
Nd1 0.0265 0.5265 0.7092  3 Ga 3.21-3.22, 2 Hg 3.31
Nd2 0.5000 0.5000 0.0000  4 Ga 3.12
Nd3 0.1827 0.0265 0.7092  3 Ga 3.21-3.22, 2 Hg 3.31
Hg1 0.2500 0.2500 0.5000  8 Nd 3.31
Nd4 0.6827 0.1827 0.7092  3 Ga 3.21-3.22, 2 Hg 3.31
Nd5 0.4735 0.3173 0.2908  3 Ga 3.21-3.22, 2 Hg 3.31
Nd6 0.0000 0.0000 0.0000  4 Ga 3.12
Nd7 0.9735 0.4735 0.2908  3 Ga 3.21-3.22, 2 Hg 3.31
Hg2 0.7500 0.7500 0.5000  8 Nd 3.31
Nd8 0.8173 0.9735 0.2908  3 Ga 3.21-3.22, 2 Hg 3.31
Ga2 0.1181 0.3819 0.0000  1 Ga 2.61
Ga3 0.8819 0.6181 0.0000  1 Ga 2.61
Nd9 0.5265 0.6827 0.7092  3 Ga 3.21-3.22, 2 Hg 3.31
Ga4 0.6181 0.1181 0.0000  1 Ga 2.61
Nd10 0.3173 0.8173 0.2908  3 Ga 3.21-3.22, 2 Hg 3.31

Results
Energy relative to the lowest polymorph listed for this composition ... 0.00 kcal/mol of atoms
Total DFT energy (no corrections) ... -4.1937 eV/atom
DOS(E_F) ... 14.50 states/eV/cell
Energy of formation from the pure elements ... -0.42 eV/atom

***

Record 4
Density functional theory data (PBE) for a relaxed Nd6Ga2Hg crystal.

Lattice parameters (Å, degrees): 8.9020 8.9020 8.9020 105.90 111.34 111.24
With the nearest neighbours (Å) after each atom.
Element x y z (fractional)
Nd1 0.0962 0.2748 0.8214  3 Ga 3.17-3.30, 1 Hg 3.29
Hg1 0.0000 0.5000 0.5000  8 Nd 3.38-3.49
Nd2 0.7082 0.3836 0.6754  3 Ga 3.02-3.15
Nd3 0.9038 0.7252 0.1786  3 Ga 3.17-3.30, 1 Hg 3.29
Ga1 0.5000 0.6212 0.1212  1 Ga 2.60
Nd4 0.7082 0.0328 0.3246  3 Ga 3.02-3.15
Hg2 0.0000 0.0000 0.0000  8 Nd 3.29-3.32, 2 Ga 3.60
Ga2 0.5000 0.3787 0.8788  1 Ga 2.60
Nd5 0.4534 0.2748 0.1786  3 Ga 3.17-3.30, 1 Hg 3.29
Ga3 0.6410 0.0000 0.6410  1 Ga 2.83, 6 Nd 3.08-3.15
Nd6 0.2918 0.9672 0.6754  3 Ga 3.02-3.15
Nd7 0.2006 0.2464 0.4471  2 Ga 3.08-3.32, 2 Hg 3.32-3.38
Nd8 0.2918 0.6164 0.3246  3 Ga 3.02-3.15
Nd9 0.5466 0.7252 0.8214  3 Ga 3.17-3.30, 1 Hg 3.29
Nd10 0.7994 0.7536 0.5529  2 Ga 3.08-3.32, 2 Hg 3.32-3.38
Nd11 0.7994 0.2464 0.0458  2 Ga 3.08-3.32, 2 Hg 3.32-3.38
Ga4 0.3590 0.0000 0.3590  1 Ga 2.83, 6 Nd 3.08-3.15
Nd12 0.2006 0.7536 0.9542  2 Ga 3.08-3.32, 2 Hg 3.32-3.38

Results
Energy relative to the lowest polymorph listed for this composition ... 0.00 kcal/mol of atoms
Total DFT energy (no corrections) ... -4.2425 eV/atom
DOS(E_F) ... 19.42 states/eV/cell
Energy of formation from the pure elements ... -0.36 eV/atom

***

Record 5
Density functional theory data (PBE) for a relaxed Nd4Ga3Hg crystal.

Lattice parameters (Å, degrees): 5.2855 7.5046 10.5708 90.00 90.00 90.00
With the nearest neighbours (Å) after each atom.
Element x y z (fractional)
Hg1 0.0000 0.5000 0.0000  8 Nd 3.27
Ga1 0.5017 0.0000 0.7500  8 Nd 3.21-3.22
Nd1 0.9989 0.7559 0.2500  6 Ga 3.21-3.27, 2 Hg 3.27
Ga2 0.5013 0.5000 0.7500  8 Nd 3.27
Hg2 0.0000 0.5000 0.5000  8 Nd 3.27
Nd2 0.9989 0.2441 0.2500  6 Ga 3.21-3.27, 2 Hg 3.27
Ga3 0.0000 0.0000 0.5000  8 Nd 3.22
Ga4 0.4983 0.0000 0.2500  8 Nd 3.21-3.22
Nd3 0.0011 0.2441 0.7500  6 Ga 3.21-3.27, 2 Hg 3.27
Nd4 0.5000 0.2440 0.5000  6 Ga 3.22-3.27, 2 Hg 3.27
Nd5 0.5000 0.7560 0.5000  6 Ga 3.22-3.27, 2 Hg 3.27
Ga5 0.4987 0.5000 0.2500  8 Nd 3.27
Nd6 0.5000 0.2440 0.0000  6 Ga 3.22-3.27, 2 Hg 3.27
Nd7 0.0011 0.7559 0.7500  6 Ga 3.21-3.27, 2 Hg 3.27
Nd8 0.5000 0.7560 0.0000  6 Ga 3.22-3.27, 2 Hg 3.27
Ga6 0.0000 0.0000 0.0000  8 Nd 3.22

Results
Total DFT energy (no corrections) ... -4.0808 eV/atom
DOS(E_F) ... 15.09 states/eV/cell
Energy of formation from the pure elements ... -0.52 eV/atom

***

Record 6
Density functional theory data (PBE) for a relaxed NdGaHg2 crystal.

Lattice parameters (Å, degrees): 4.8931 4.4650 4.4650 90.00 90.00 90.00
With the nearest neighbours (Å) after each atom.
Element x y z (fractional)
Hg1 0.0000 0.5000 0.0000  4 Hg 3.16, 4 Nd 3.31, 4 Ga 3.31
Nd1 0.5000 0.5000 0.5000  4 Ga 3.16, 8 Hg 3.31
Ga1 0.5000 0.0000 0.0000  4 Nd 3.16, 8 Hg 3.31
Hg2 0.0000 0.0000 0.5000  4 Hg 3.16, 4 Nd 3.31, 4 Ga 3.31

Results
Total DFT energy (no corrections) ... -2.4784 eV/atom
DOS(E_F) ... 2.66 states/eV/cell
Energy of formation from the pure elements ... -0.38 eV/atom

***

Record 7
Density functional theory data (PBE) for a relaxed Nd2Ga3Hg crystal.

Lattice parameters (Å, degrees): 4.1054 4.5024 8.3691 105.60 104.20 90.00
With the nearest neighbours (Å) after each atom.
Element x y z (fractional)
Ga1 0.5460 0.5460 0.0921  1 Ga 2.49, 2 Hg 2.62
Hg1 0.4596 0.9596 0.9192  3 Ga 2.62-2.63
Nd1 0.8621 0.3621 0.7243  8 Ga 3.24-3.53, 4 Hg 3.40
Ga2 0.7056 0.7056 0.4113  3 Ga 2.44-2.49
Ga3 0.2908 0.7908 0.5816  2 Ga 2.44, 1 Hg 2.63
Nd2 0.1358 0.1358 0.2716  10 Ga 3.24-3.35, 2 Hg 3.43

Results
Total DFT energy (no corrections) ... -3.7330 eV/atom
DOS(E_F) ... 3.89 states/eV/cell
Energy of formation from the pure elements ... -0.58 eV/atom

***

Record 8
Density functional theory data (PBE) for a relaxed Nd4GaHgO crystal.

Lattice parameters (Å, degrees): 6.8231 6.8334 8.7167 90.00 113.04 90.00
With the nearest neighbours (Å) after each atom.
Element x y z (fractional)
Hg1 0.3848 0.2500 0.7696  5 Nd 3.06-3.24
Nd1 0.9319 0.2500 0.8637  1 Ga 3.00, 1 O 3.04
Ga1 0.1191 0.2500 0.2382  5 Nd 3.00-3.20
Nd2 0.4242 0.7500 0.8485  1 O 2.67
Hg2 0.6152 0.7500 0.2304  5 Nd 3.06-3.24
Ga2 0.8809 0.7500 0.7618  5 Nd 3.00-3.20
O1 0.2579 0.7500 0.5157  5 Nd 2.42-2.67
Nd3 0.0000 0.0000 0.5000  2 O 2.42
Nd4 0.0681 0.7500 0.1363  1 Ga 3.00, 1 O 3.04
Nd5 0.5000 0.5000 0.5000  2 O 2.42
O2 0.7421 0.2500 0.4843  5 Nd 2.42-2.67
Nd6 0.5000 0.0000 0.5000  2 O 2.42
Nd7 0.5758 0.2500 0.1515  1 O 2.67
Nd8 0.0000 0.5000 0.5000  2 O 2.42

Results
Formation energy from raw total energies ... -1.051 eV/atom
Total DFT energy (no corrections) ... -4.9595 eV/atom
DOS(E_F) ... 8.92 states/eV/cell

***

Record 9
Density functional theory data (PBE) for a relaxed NdPaGaHg crystal.

Lattice parameters (Å, degrees): 5.2532 5.2532 5.2532 60.00 60.00 60.00
With the nearest neighbours (Å) after each atom.
Element x y z (fractional)
Pa1 0.0000 0.0000 0.0000  4 Ga 3.22, 4 Hg 3.22
Ga1 0.2500 0.2500 0.2500  4 Pa 3.22, 4 Nd 3.22
Hg1 0.7500 0.7500 0.7500  4 Nd 3.22, 4 Pa 3.22
Nd1 0.5000 0.5000 0.5000  4 Hg 3.22, 4 Ga 3.22

Results
Total DFT energy (no corrections) ... -4.5117 eV/atom
DOS(E_F) ... 8.02 states/eV/cell
Energy of formation from the pure elements ... -0.11 eV/atom

***

Record 10
Density functional theory data (PBE) for a relaxed NdGaHgPb crystal.

Lattice parameters (Å, degrees): 5.3076 5.3076 5.3076 60.00 60.00 60.00
With the nearest neighbours (Å) after each atom.
Element x y z (fractional)
Pb1 0.7500 0.7500 0.7500  4 Ga 3.25, 4 Hg 3.25
Hg1 0.0000 0.0000 0.0000  4 Nd 3.25, 4 Pb 3.25
Ga1 0.5000 0.5000 0.5000  4 Pb 3.25, 4 Nd 3.25
Nd1 0.2500 0.2500 0.2500  4 Hg 3.25, 4 Ga 3.25

Results
Total DFT energy (no corrections) ... -3.2234 eV/atom
DOS(E_F) ... 2.21 states/eV/cell
Energy of formation from the pure elements ... -0.27 eV/atom

***

Record 11
Density functional theory data (PBE) for a relaxed NdGaHgPd crystal.

Lattice parameters (Å, degrees): 4.9593 4.9593 4.9593 60.00 60.00 60.00
With the nearest neighbours (Å) after each atom.
Element x y z (fractional)
Hg1 0.7500 0.7500 0.7500  4 Nd 3.04, 4 Ga 3.04
Ga1 0.5000 0.5000 0.5000  4 Hg 3.04, 4 Pd 3.04
Nd1 0.0000 0.0000 0.0000  4 Hg 3.04, 4 Pd 3.04
Pd1 0.2500 0.2500 0.2500  4 Ga 3.04, 4 Nd 3.04

Results
Total DFT energy (no corrections) ... -3.8084 eV/atom
DOS(E_F) ... 2.52 states/eV/cell
Energy of formation from the pure elements ... -0.49 eV/atom

***

Record 12
Density functional theory data (PBE) for a relaxed Nd2Ga4HgPd3 crystal.

Lattice parameters (Å, degrees): 4.3517 4.3517 10.6553 90.00 90.00 90.00
With the nearest neighbours (Å) after each atom.
Element x y z (fractional)
Pd1 0.0000 0.5000 0.1255  5 Ga 2.46-2.55
Ga1 0.0000 0.5000 0.3560  3 Pd 2.46-2.66, 2 Hg 2.66
Nd1 0.0000 0.5000 0.7628  6 Pd 3.30-3.55, 8 Ga 3.33, 2 Hg 3.55
Ga2 0.0000 0.0000 0.0000  4 Pd 2.55
Pd2 0.5000 0.0000 0.8745  5 Ga 2.46-2.55
Nd2 0.5000 0.0000 0.2372  6 Pd 3.30-3.55, 8 Ga 3.33, 2 Hg 3.55
Ga3 0.5000 0.5000 0.0000  4 Pd 2.55
Pd3 0.0000 0.0000 0.5000  4 Ga 2.66
Hg1 0.5000 0.5000 0.5000  4 Ga 2.66
Ga4 0.5000 0.0000 0.6440  3 Pd 2.46-2.66, 2 Hg 2.66

Results
Total DFT energy (no corrections) ... -4.4410 eV/atom
DOS(E_F) ... 6.70 states/eV/cell
Energy of formation from the pure elements ... -0.69 eV/atom